Entry 1:
Mg2CdAg: optimized geometry, GGA-PBEsol.

The structure in POSCAR format:
```
Mg2CdAg
1.0
3.4908 0.0000 0.0000
0.0000 4.6664 0.0061
0.0000 -0.2287 4.6608
Mg Ag Cd
2 1 1
direct
0.0000 0.0000 0.5000
0.0000 0.5000 0.0000
0.5000 0.0000 0.0000
0.5000 0.5000 0.5000
```

Relative energy among the computed polymorphs ... 14.1 meV/atom
M_tot ... 0.00 Bohr magnetons per cell
Fermi-level density of states ... 0.281 states/eV/atom


Entry 2:
Mg5Sc: optimized geometry, GGA-PBEsol.

The structure in POSCAR format:
```
Mg5Sc
1.0
-1.7131 2.3883 -1.2923
1.5336 -1.4446 -4.7026
-5.6814 -6.2046 0.0532
Mg Sc
5 1
direct
0.2195 0.5000 0.4391
0.3345 0.0000 0.6691
0.5533 0.5000 0.1067
0.6666 0.0000 0.3332
0.8899 0.5000 0.7798
0.0027 0.0000 0.0055
```

Raw total energy ... -2.53 eV per atom
M_tot ... 0.00 Bohr magnetons per cell
Fermi-level density of states ... 0.643 states/eV/atom


Entry 3:
CrRu2Au: optimized geometry, GGA-PBEsol.

The structure in POSCAR format:
```
CrRu2Au
1.0
2.8711 0.0000 0.0000
0.0000 4.4818 0.0000
0.0000 0.0000 4.4704
Ru Au Cr
2 1 1
direct
0.5000 0.0000 0.5000
0.0000 0.0000 0.0000
0.5000 0.5000 0.0000
0.0000 0.5000 0.5000
```

Relative energy among the computed polymorphs ... 355.0 meV/atom
M_tot ... 2.22 Bohr magnetons per cell
Fermi-level density of states ... 1.406 states/eV/atom


Entry 4:
CrI2N2: optimized geometry, GGA-PBEsol.

The structure in POSCAR format:
```
CrI2N2
1.0
4.0091 0.0000 0.0000
0.0000 4.0091 0.0000
0.0000 0.0000 7.2591
N I Cr
2 2 1
direct
0.0000 0.5000 0.0000
0.5000 0.0000 0.0000
0.0000 0.0000 0.5000
0.0000 0.0000 0.0000
0.5000 0.5000 0.5000
```

Raw total energy ... -4.41 eV per atom
M_tot ... 4.73 Bohr magnetons per cell
Fermi-level density of states ... 0.514 states/eV/atom


no.,density (g/cm3)
1,5.881
2,2.023
3,13.022
4,4.751